[1]
# Cs4Sn21Hg2 PBE-GGA relaxed
data_Cs4Sn21Hg2
_space_group_name_H-M_alt 'A m a 2'
_space_group_IT_number 40
_cell_length_a 12.487
_cell_length_b 17.657
_cell_length_c 17.669
_cell_angle_alpha 90.00
_cell_angle_beta 90.00
_cell_angle_gamma 90.00
loop_
_space_group_symop_operation_xyz
'x,y,z'
'-x,-y,z'
'-x+1/2,y,z'
'x+1/2,-y,z'
'x,y+1/2,z+1/2'
'-x,-y+1/2,z+1/2'
'-x+1/2,y+1/2,z+1/2'
'x+1/2,-y+1/2,z+1/2'
loop_
_atom_site_label
_atom_site_type_symbol
_atom_site_fract_x
_atom_site_fract_y
_atom_site_fract_z
Cs1 Cs 0.000 0.000 0.000
Cs2 Cs 0.250 0.118 0.634
Cs3 Cs 0.250 0.250 0.258
Cs4 Cs 0.250 0.374 0.890
Sn1 Sn 0.056 0.308 0.700
Sn2 Sn 0.064 0.190 0.818
Sn3 Sn 0.065 0.248 0.441
Sn4 Sn 0.067 0.066 0.260
Sn5 Sn 0.067 0.432 0.258
Sn6 Sn 0.069 0.250 0.074
Sn7 Sn 0.132 0.093 0.415
Sn8 Sn 0.132 0.405 0.103
Sn9 Sn 0.250 0.038 0.163
Sn10 Sn 0.250 0.151 0.041
Sn11 Sn 0.250 0.344 0.469
Sn12 Sn 0.250 0.375 0.633
Sn13 Sn 0.250 0.466 0.354
Hg1 Hg 0.000 0.000 0.510
Hg2 Hg 0.250 0.124 0.883
# **E_tot**: -373.86 eV per cell
# **ΔH_f (0 K)**: -19.2 kJ per mole of atoms


[2]
# MgBi2As PBE-GGA relaxed
data_MgBi2As
_space_group_name_H-M_alt 'I -4 2 d'
_space_group_IT_number 122
_space_group_name_Hall 'I -4 2bw'
_cell_length_a 6.632
_cell_length_b 6.632
_cell_length_c 13.518
_cell_angle_alpha 90.00
_cell_angle_beta 90.00
_cell_angle_gamma 90.00
loop_
_atom_site_label
_atom_site_type_symbol
_atom_site_fract_x
_atom_site_fract_y
_atom_site_fract_z
Mg1 Mg 0.000 0.000 0.000
Bi1 Bi 0.240 0.250 0.625
As1 As 0.000 0.000 0.500
# **E_tot**: -53.59 eV per cell
# **ΔH_f (0 K)**: 14.7 kJ per mole of atoms


[3]
# PPbAu2 PBE-GGA relaxed
data_PPbAu2
_space_group_name_H-M_alt 'C 1 m 1'
_space_group_IT_number 8
_cell_length_a 9.944
_cell_length_b 3.552
_cell_length_c 6.333
_cell_angle_alpha 90.00
_cell_angle_beta 120.34
_cell_angle_gamma 90.00
loop_
_space_group_symop_operation_xyz
'x,y,z'
'x,-y,z'
'x+1/2,y+1/2,z'
'x+1/2,-y+1/2,z'
loop_
_atom_site_label
_atom_site_type_symbol
_atom_site_fract_x
_atom_site_fract_y
_atom_site_fract_z
P1 P 0.000 0.000 0.000
Pb1 Pb 0.102 0.000 0.648
Au1 Au 0.204 0.500 0.186
Au2 Au 0.416 0.000 0.199
# **E_tot**: -30.29 eV per cell
# **ΔH_f (0 K)**: 12.8 kJ per mole of atoms


[4]
# Cs2RbPuH6 PBE-GGA relaxed
data_Cs2RbPuH6
_space_group_name_H-M_alt 'F m -3 m'
_space_group_IT_number 225
_space_group_name_Hall '-F 4 2 3'
_cell_length_a 9.885
_cell_length_b 9.885
_cell_length_c 9.885
_cell_angle_alpha 90.00
_cell_angle_beta 90.00
_cell_angle_gamma 90.00
loop_
_atom_site_label
_atom_site_type_symbol
_atom_site_fract_x
_atom_site_fract_y
_atom_site_fract_z
Cs1 Cs 0.250 0.250 0.250
Rb1 Rb 0.000 0.000 0.000
Pu1 Pu 0.000 0.000 0.500
H1 H 0.000 0.000 0.274
# **E_tot**: -152.02 eV per cell


[5]
# Pm2TmSb3Rh4 PBE-GGA relaxed
data_Pm2TmSb3Rh4
_space_group_name_H-M_alt 'P -4 m 2'
_space_group_IT_number 115
_cell_length_a 4.370
_cell_length_b 4.370
_cell_length_c 11.442
_cell_angle_alpha 90.00
_cell_angle_beta 90.00
_cell_angle_gamma 90.00
loop_
_space_group_symop_operation_xyz
'x,y,z'
'y,-x,-z'
'-x,-y,z'
'-y,x,-z'
'-x,y,z'
'-y,-x,-z'
'x,-y,z'
'y,x,-z'
loop_
_atom_site_label
_atom_site_type_symbol
_atom_site_fract_x
_atom_site_fract_y
_atom_site_fract_z
Pm1 Pm 0.000 0.500 0.227
Tm1 Tm 0.000 0.000 0.500
Sb1 Sb 0.000 0.500 0.868
Sb2 Sb 0.500 0.500 0.500
Rh1 Rh 0.000 0.000 0.000
Rh2 Rh 0.000 0.500 0.644
Rh3 Rh 0.500 0.500 0.000
# **Raw formation energy**: -8.7 eV/f.u.
# **E_tot**: -64.42 eV per cell


[6]
# Nb2CdB PBE-GGA relaxed
data_Nb2CdB
_space_group_name_H-M_alt 'I -4 2 d'
_space_group_IT_number 122
_space_group_name_Hall 'I -4 2bw'
_cell_length_a 6.933
_cell_length_b 6.933
_cell_length_c 5.505
_cell_angle_alpha 90.00
_cell_angle_beta 90.00
_cell_angle_gamma 90.00
loop_
_atom_site_label
_atom_site_type_symbol
_atom_site_fract_x
_atom_site_fract_y
_atom_site_fract_z
Nb1 Nb 0.194 0.750 0.125
Cd1 Cd 0.000 0.000 0.500
B1 B 0.000 0.000 0.000
# **E_tot**: -104.62 eV per cell
# **ΔH_f (0 K)**: 38.1 kJ per mole of atoms


Per-record magnetization, μB per formula unit: 0.00 0.00 0.00 5.00 0.00 0.00